The following is a DFT calculation (PBE-GGA) of a relaxed structure of LuAlIn.

Properties
For the total energy, the calculation gives -0.25926 Ry/atom. Its space group is No. 216.

Unit cell a=4.8819 b=4.8819 c=4.8819 alpha=60.00 beta=60.00 gamma=60.00
Atoms (fractional coordinates):
Lu 0.0000 0.0000 0.0000
Al 0.7500 0.7500 0.7500
In 0.2500 0.2500 0.2500